CrCo2AgO | GGA+U | relaxed

Results
Crystal system   tetragonal
Electronic total energy   -23.26 eV per formula unit
Volume   72 Å³/cell

Cell lengths 3.838, 4.914, 3.838 Å; angles 90.00, 90.00, 90.00 degrees
Each line ends with the local moment (μB).
Sites, in units of the cell vectors:
Cr 0.500 0.500 0.500  4.22
Co 0.000 0.000 0.500  1.83
Co 0.500 0.000 0.000  2.41
O 0.000 0.000 0.000  0.27
Ag 0.000 0.500 0.000  0.14